# 1
DFT (PBE) results for a relaxed ErSn3Pd7 crystal.

Properties
Its density is 9.9 g/cm3. As for the space group: C2/m, No. 12. The formation enthalpy at 0 K is -0.507 eV/atom. The total magnetic moment comes out at 0.000 μB per atom. As for the final energy: -5.32 eV per atom.

Geometry as CIF:
```
data_ErSn3Pd7
_chemical_formula_sum 'Er1 Sn3 Pd7'
_space_group_name_H-M_alt 'P 1'
_space_group_IT_number 1
_cell_length_a 6.472
_cell_length_b 6.472
_cell_length_c 5.552
_cell_angle_alpha 105.07
_cell_angle_beta 105.07
_cell_angle_gamma 97.63
loop_
_space_group_symop_operation_xyz
'x,y,z'
loop_
_atom_site_label
_atom_site_type_symbol
_atom_site_fract_x
_atom_site_fract_y
_atom_site_fract_z
_atom_site_occupancy
Er1 Er 0.000 0.000 0.000 1
Sn1 Sn 0.270 0.730 0.500 1
Sn2 Sn 0.500 0.500 0.000 1
Sn3 Sn 0.730 0.270 0.500 1
Pd1 Pd 0.000 0.000 0.500 1
Pd2 Pd 0.091 0.556 0.816 1
Pd3 Pd 0.312 0.312 0.453 1
Pd4 Pd 0.444 0.909 0.184 1
Pd5 Pd 0.556 0.091 0.816 1
Pd6 Pd 0.688 0.688 0.547 1
Pd7 Pd 0.909 0.444 0.184 1
```

# 2
DFT (PBE) results for a relaxed CaY2Ni crystal.

Properties
Its density is 3.9 g/cm3. As for the space group: Amm2, No. 38. The calculation puts the energy above the most stable polymorph in this dataset at 0.068 eV/atom. The formation enthalpy at 0 K is -0.069 eV/atom. The total magnetic moment comes out at 0.038 μB per atom. As for the final energy: -5.25 eV per atom.

Geometry as CIF:
```
data_CaY2Ni
_chemical_formula_sum 'Ca1 Y2 Ni1'
_space_group_name_H-M_alt 'P 1'
_space_group_IT_number 1
_cell_length_a 3.731
_cell_length_b 8.049
_cell_length_c 8.049
_cell_angle_alpha 29.15
_cell_angle_beta 90.00
_cell_angle_gamma 90.00
loop_
_space_group_symop_operation_xyz
'x,y,z'
loop_
_atom_site_label
_atom_site_type_symbol
_atom_site_fract_x
_atom_site_fract_y
_atom_site_fract_z
_atom_site_occupancy
Ca1 Ca 0.000 0.000 0.000 1
Y1 Y 0.000 0.310 0.310 1
Y2 Y 0.500 0.667 0.667 1
Ni1 Ni 0.500 0.842 0.842 1
```

# 3
DFT (PBE) results for a relaxed LiCaAs2Se crystal.

Properties
Its density is 4.2 g/cm3. As for the space group: P4/mmm, No. 123. The calculation puts the energy above the most stable polymorph in this dataset at 0.000 eV/atom. As for the uncorrected formation energy: -0.30 eV per atom. The total magnetic moment comes out at 0.000 μB per atom. As for the final energy: -3.64 eV per atom.

Geometry as CIF:
```
data_LiCaAs2Se
_chemical_formula_sum 'Li1 Ca1 As2 Se1'
_space_group_name_H-M_alt 'P 1'
_space_group_IT_number 1
_cell_length_a 4.584
_cell_length_b 4.584
_cell_length_c 5.153
_cell_angle_alpha 90.00
_cell_angle_beta 90.00
_cell_angle_gamma 90.00
loop_
_space_group_symop_operation_xyz
'x,y,z'
loop_
_atom_site_label
_atom_site_type_symbol
_atom_site_fract_x
_atom_site_fract_y
_atom_site_fract_z
_atom_site_occupancy
Li1 Li 0.000 0.000 0.000 1
Ca1 Ca 0.500 0.500 0.500 1
As1 As 0.000 0.500 0.000 1
As2 As 0.500 0.000 0.000 1
Se1 Se 0.000 0.000 0.500 1
```